A PBEsol-optimized structure of Sc2AlTc, computed with SCAN.

Energy relative to the lowest polymorph listed for this composition: 1.48 eV/f.u.
Volume: 18.85 Å³/atom
ΔE_f: -54.5 meV/atom
Electronic total energy: -71.5 eV/f.u.
Crystal system: trigonal

Cell and atoms, written as POSCAR:
```
Sc2AlTc
1.0
1.559 0.900 8.952
-1.559 0.900 8.952
0.000 -1.801 8.952
Sc Al Tc
2 1 1
Cartesian
0.000 0.000 0.000
0.000 0.000 6.099
0.000 0.000 20.244
0.000 0.000 13.095
```